Entry 1:
SbH | PBE | optimized geometry

Values from the calculation:
- calculated volume (Å³ per cell) = 244
- crystal system = cubic
- E_tot (eV/atom) = -2.97

Unit cell a=6.249 b=6.249 c=6.249 alpha=90.00 beta=90.00 gamma=90.00
Fractional coordinates of all 12 atoms:
Sb1 0.000 0.750 0.500
H1 0.250 0.000 0.500
Sb2 0.250 0.500 0.000
H2 0.000 0.500 0.250
Sb3 0.750 0.500 0.000
Sb4 0.500 0.000 0.750
H3 0.750 0.000 0.500
H4 0.000 0.500 0.750
Sb5 0.500 0.000 0.250
H5 0.500 0.250 0.000
H6 0.500 0.750 0.000
Sb6 0.000 0.250 0.500

---

Entry 2:
CoRu2Au | PBE | optimized geometry

Values from the calculation:
- calculated volume (Å³ per cell) = 123
- crystal system = tetragonal
- energy of formation from the pure elements (eV per atom) = 0.719
- E_tot (eV/atom) = -6.51

Unit cell a=7.002 b=7.002 c=5.552 alpha=50.91 beta=50.91 gamma=90.00
Fractional coordinates of all 8 atoms:
Au1 0.750 0.250 0.500
Ru1 0.375 0.429 0.750
Au2 0.000 0.000 0.000
Ru2 0.571 0.125 0.250
Co1 0.250 0.750 0.500
Co2 0.500 0.500 0.000
Ru3 0.875 0.821 0.750
Ru4 0.179 0.625 0.250

---

Entry 3:
MgPN2 | PBE | optimized geometry

Values from the calculation:
- calculated volume (Å³ per cell) = 51
- crystal system = trigonal
- E_tot (eV/atom) = -6.00

Unit cell a=5.658 b=5.658 c=5.658 alpha=34.25 beta=34.25 gamma=34.25
Fractional coordinates of all 4 atoms:
N1 0.903 0.903 0.903
Mg1 0.500 0.500 0.500
N2 0.097 0.097 0.097
P1 0.000 0.000 0.000

---

Entry 4:
RbSbBr6 | PBE | optimized geometry

Values from the calculation:
- calculated volume (Å³ per cell) = 647
- crystal system = monoclinic
- E_tot (eV/atom) = -2.65

Unit cell a=7.426 b=7.426 c=12.288 alpha=85.84 beta=85.84 gamma=73.47
Fractional coordinates of all 16 atoms:
Br1 0.612 0.276 0.904
Sb1 0.000 0.500 0.500
Br2 0.200 0.150 0.482
Br3 0.388 0.724 0.096
Br4 0.140 0.494 0.690
Rb1 0.989 0.011 0.250
Rb2 0.011 0.989 0.750
Sb2 0.500 0.000 0.000
Br5 0.150 0.200 0.982
Br6 0.724 0.388 0.596
Br7 0.860 0.506 0.310
Br8 0.276 0.612 0.404
Br9 0.494 0.140 0.190
Br10 0.800 0.850 0.518
Br11 0.850 0.800 0.018
Br12 0.506 0.860 0.810

---

Entry 5:
BaNbAs3 | PBE | optimized geometry

Values from the calculation:
- calculated volume (Å³ per cell) = 172
- crystal system = cubic
- energy of formation from the pure elements (eV per atom) = 1.826
- E_tot (eV/atom) = -3.36

Unit cell a=5.560 b=5.560 c=5.560 alpha=90.00 beta=90.00 gamma=90.00
Fractional coordinates of all 5 atoms:
As1 0.500 0.000 0.000
As2 0.000 0.000 0.500
Nb1 0.500 0.500 0.500
Ba1 0.000 0.000 0.000
As3 0.000 0.500 0.000

---

Entry 6:
In3AgI9 | PBE | optimized geometry

Values from the calculation:
- calculated volume (Å³ per cell) = 1307
- crystal system = monoclinic
- E_tot (eV/atom) = -2.34

Unit cell a=13.465 b=11.426 c=12.988 alpha=58.10 beta=58.78 gamma=53.90
Fractional coordinates of all 26 atoms:
In1 0.808 0.620 0.655
In2 0.916 0.120 0.155
In3 0.283 0.376 0.345
In4 0.367 0.813 0.177
I1 0.150 0.444 0.566
I2 0.190 0.960 0.700
I3 0.861 0.878 0.408
I4 0.544 0.822 0.758
I5 0.062 0.579 0.881
Ag1 0.590 0.062 0.532
I6 0.508 0.343 0.554
I7 0.149 0.460 0.200
Ag2 0.816 0.562 0.032
I8 0.243 0.859 0.403
I9 0.466 0.511 0.182
I10 0.495 0.359 0.903
In5 0.644 0.313 0.677
I11 0.783 0.491 0.517
I12 0.842 0.011 0.682
I13 0.477 0.079 0.381
I14 0.854 0.378 0.908
In6 0.997 0.876 0.845
I15 0.209 0.991 0.017
I16 0.840 0.944 0.066
I17 0.596 0.843 0.054
I18 0.876 0.322 0.258